[1]
Here is crystalline Ta2CdPb at its relaxed geometry from Alexandria via LeMat-Bulk. Energies are from PBE.

Cell: 2.9601 2.9601 10.2713 Å, 90.00 90.00 90.00°
Last column: nearest neighbours and their distance in Å.
Fractional positions:
Cd1 0.0000 0.0000 0.4571  4 Cd 2.96, 4 Ta 3.07
Ta1 0.5000 0.5000 0.2380  8 Ta 2.96-3.04, 4 Cd 3.07
Ta2 0.0000 0.0000 0.0238  8 Ta 2.96-3.04, 4 Pb 3.26
Pb1 0.5000 0.5000 0.7811  4 Pb 2.96, 4 Ta 3.26

Uncorrected energy   -6.7029 eV/atom
Crystal system   tetragonal

[2]
Here is crystalline NbNiHgTe3 at its relaxed geometry from Alexandria via LeMat-Bulk. Energies are from PBE.

Cell: 3.6946 9.9111 10.5294 Å, 118.66 90.00 90.00°
Last column: nearest neighbours and their distance in Å.
Fractional positions:
Te1 0.7500 0.9051 0.1469  1 Ni 2.56, 2 Nb 2.77
Te2 0.7500 0.4738 0.1270  3 Nb 2.88-2.91
Te3 0.2500 0.5262 0.8730  3 Nb 2.88-2.91
Te4 0.2500 0.7901 0.4705  3 Ni 2.56, 1 Nb 2.73
Te5 0.7500 0.2099 0.5295  3 Ni 2.56, 1 Nb 2.73
Te6 0.2500 0.0949 0.8531  1 Ni 2.56, 2 Nb 2.77
Nb1 0.7500 0.2796 0.8141  6 Te 2.73-2.91, 2 Ni 2.81
Nb2 0.2500 0.7204 0.1859  6 Te 2.73-2.91, 2 Ni 2.81
Ni1 0.2500 0.0851 0.6055  4 Te 2.56, 2 Ni 2.76, 2 Nb 2.81
Ni2 0.7500 0.9149 0.3945  4 Te 2.56, 2 Ni 2.76, 2 Nb 2.81
Hg1 0.7500 0.7253 0.7410  7 Te 3.45-3.76, 2 Hg 3.69
Hg2 0.2500 0.2747 0.2590  7 Te 3.45-3.76, 2 Hg 3.69

Uncorrected formation energy   -0.303 eV/atom
Crystal system   monoclinic

[3]
Here is crystalline Pm5SmY2 at its relaxed geometry from Alexandria via LeMat-Bulk. Energies are from PBE.

Cell: 6.6947 9.0572 11.0883 Å, 79.46 119.83 111.72°
Last column: nearest neighbours and their distance in Å.
Fractional positions:
Sm1 0.7908 0.5818 0.7499  4 Y 3.44-3.68, 8 Pm 3.52-3.79
Sm2 0.2092 0.4182 0.2501  4 Y 3.44-3.68, 8 Pm 3.52-3.79
Y1 0.8017 0.6245 0.0770  6 Pm 3.39-3.79, 2 Sm 3.44-3.68, 2 Y 3.48-3.77
Y2 0.1760 0.3748 0.5769  6 Pm 3.40-3.80, 2 Sm 3.45-3.68, 2 Y 3.48-3.77
Y3 0.8240 0.6252 0.4231  6 Pm 3.40-3.80, 2 Sm 3.45-3.68, 2 Y 3.48-3.77
Y4 0.1983 0.3755 0.9230  6 Pm 3.39-3.79, 2 Sm 3.44-3.68, 2 Y 3.48-3.77
Pm1 0.6437 0.2881 0.2496  4 Pm 3.17-3.45, 4 Y 3.40-3.55, 2 Sm 3.52
Pm2 0.3716 0.7881 0.0489  4 Pm 3.45-3.78, 3 Y 3.56-3.79, 2 Sm 3.70-3.79
Pm3 0.5820 0.2116 0.5484  4 Pm 3.45-3.78, 3 Y 3.56-3.80, 2 Sm 3.70-3.79
Pm4 0.1358 0.0121 0.1626  3 Pm 3.13-3.18, 1 Y 3.39
Pm5 0.8769 0.0129 0.3374  4 Pm 3.14-3.51, 1 Y 3.40
Pm6 0.1231 0.9871 0.6626  4 Pm 3.14-3.51, 1 Y 3.40
Pm7 0.6284 0.2119 0.9511  4 Pm 3.45-3.78, 3 Y 3.56-3.79, 2 Sm 3.70-3.79
Pm8 0.4180 0.7884 0.4516  4 Pm 3.45-3.78, 3 Y 3.56-3.80, 2 Sm 3.70-3.79
Pm9 0.8642 0.9879 0.8374  3 Pm 3.13-3.18, 1 Y 3.39
Pm10 0.3563 0.7119 0.7504  4 Pm 3.17-3.45, 4 Y 3.40-3.55, 2 Sm 3.52

Excess energy over the best structure of this formula in the dataset   106 meV per atom
Crystal system   triclinic

[4]
Here is crystalline SmSi6 at its relaxed geometry from Alexandria via LeMat-Bulk. Energies are from PBE.

Cell: 5.7590 5.7590 5.7590 Å, 109.47 109.47 109.47°
Last column: nearest neighbours and their distance in Å.
Fractional positions:
Si1 0.7500 0.5000 0.2500  4 Si 2.35
Si2 0.5000 0.2500 0.7500  4 Si 2.35
Si3 0.5000 0.7500 0.2500  4 Si 2.35
Si4 0.2500 0.5000 0.7500  4 Si 2.35
Si5 0.7500 0.2500 0.5000  4 Si 2.35
Si6 0.2500 0.7500 0.5000  4 Si 2.35
Sm1 0.0000 0.0000 0.0000  24 Si 3.72

Uncorrected formation energy   0.143 eV/atom
Crystal system   cubic

[5]
Here is crystalline NdInNiAu at its relaxed geometry from Alexandria via LeMat-Bulk. Energies are from PBE.

Cell: 4.9071 4.9071 4.9071 Å, 60.00 60.00 60.00°
Last column: nearest neighbours and their distance in Å.
Fractional positions:
In1 0.5000 0.5000 0.5000  4 Ni 3.00, 4 Au 3.00
Au1 0.7500 0.7500 0.7500  4 In 3.00, 4 Nd 3.00
Ni1 0.2500 0.2500 0.2500  4 Nd 3.00, 4 In 3.00
Nd1 0.0000 0.0000 0.0000  4 Au 3.00, 4 Ni 3.00

Uncorrected energy   -4.5516 eV/atom
Crystal system   cubic

[6]
Here is crystalline CsPrSeI at its relaxed geometry from Alexandria via LeMat-Bulk. Energies are from PBE.

Cell: 4.4270 4.4276 9.4640 Å, 90.00 103.57 119.93°
Last column: nearest neighbours and their distance in Å.
Fractional positions:
Pr1 0.1131 0.9549 0.0832  3 Se 2.99, 3 I 3.33
I1 0.9361 0.3662 0.3179  3 Pr 3.33
Se1 0.3334 0.5643 0.9128  3 Pr 2.99
Cs1 0.4952 0.1454 0.6558  3 Se 3.47

Uncorrected formation energy   -1.401 eV/atom
Crystal system   monoclinic

[7]
Here is crystalline SeN at its relaxed geometry from Alexandria via LeMat-Bulk. Energies are from PBE.

Cell: 2.8596 4.8701 7.0044 Å, 76.97 65.68 54.03°
Last column: nearest neighbours and their distance in Å.
Fractional positions:
N1 0.9489 0.0522 0.7482  2 Se 1.84
N2 0.0511 0.9478 0.2518  2 Se 1.84
Se1 0.7459 0.7597 0.7439  2 N 1.84
Se2 0.2541 0.2403 0.2561  2 N 1.84

Uncorrected formation energy   1.039 eV/atom
Crystal system   triclinic

[8]
Here is crystalline TlFe3Ni at its relaxed geometry from Alexandria via LeMat-Bulk. Energies are from PBE.

Cell: 4.4060 4.4060 4.4060 Å, 90.00 90.00 90.00°
Last column: nearest neighbours and their distance in Å.
Fractional positions:
Ni1 0.0000 0.0000 0.0000  6 Fe 2.20
Fe1 0.0000 0.0000 0.5000  2 Ni 2.20
Fe2 0.0000 0.5000 0.0000  2 Ni 2.20
Fe3 0.5000 0.0000 0.0000  2 Ni 2.20
Tl1 0.5000 0.5000 0.5000  12 Fe 3.12

Excess energy over the best structure of this formula in the dataset   0 meV per atom
Crystal system   cubic

Number 1: spin magnetization 0.00 μB/cell. Number 2: spin magnetization 0.00 μB/cell. Number 3: spin magnetization 0.00 μB/cell. Number 4: spin magnetization 0.00 μB/cell. Number 5: spin magnetization 0.00 μB/cell. Number 6: spin magnetization 0.00 μB/cell. Number 7: spin magnetization 0.00 μB/cell. Number 8: spin magnetization 9.50 μB/cell.